Entry 1:
Below is NaTl2F3 after structural relaxation, with properties calculated at the PBE level.

Summary:
- formation energy (no corrections) (eV/atom) = -2.031
- total DFT energy (no corrections) (eV per atom) = -3.97

The structure in CIF format:
```
data_NaTl2F3
_chemical_formula_sum 'Na2 Tl4 F6'
_cell_length_a 3.6043
_cell_length_b 5.1885
_cell_length_c 12.4109
_cell_angle_alpha 90.00
_cell_angle_beta 90.00
_cell_angle_gamma 90.00
_space_group_name_H-M_alt 'I m m m'
_space_group_IT_number 71
_space_group_name_Hall '-I 2 2'
loop_
_atom_site_label
_atom_site_fract_x
_atom_site_fract_y
_atom_site_fract_z
Na1 0.0000 0.0000 0.0000
Tl1 0.0000 0.0000 0.3379
F1 0.0000 0.5000 0.0000
F2 0.0000 0.5000 0.3777
```

Entry 2:
Below is NaTl3F8 after structural relaxation, with properties calculated at the PBE level.

Summary:
- formation energy (no corrections) (eV/atom) = -1.966
- total DFT energy (no corrections) (eV per atom) = -3.91

The structure in CIF format:
```
data_NaTl3F8
_chemical_formula_sum 'Na2 Tl6 F16'
_cell_length_a 5.5383
_cell_length_b 5.5383
_cell_length_c 12.0252
_cell_angle_alpha 90.00
_cell_angle_beta 90.00
_cell_angle_gamma 90.00
_space_group_name_H-M_alt 'I 4/m m m'
_space_group_IT_number 139
_space_group_name_Hall '-I 4 2'
loop_
_atom_site_label
_atom_site_fract_x
_atom_site_fract_y
_atom_site_fract_z
Na1 0.0000 0.0000 0.0000
Tl1 0.0000 0.0000 0.5000
Tl2 0.0000 0.5000 0.2500
F1 0.2439 0.2439 0.1410
```

Entry 3:
Below is Na2TlF8 after structural relaxation, with properties calculated at the PBE level.

Summary:
- formation energy (no corrections) (eV/atom) = -1.621
- total DFT energy (no corrections) (eV per atom) = -3.44

The structure in CIF format:
```
data_Na2TlF8
_chemical_formula_sum 'Na4 Tl2 F16'
_cell_length_a 13.6629
_cell_length_b 3.7079
_cell_length_c 6.5238
_cell_angle_alpha 90.00
_cell_angle_beta 110.45
_cell_angle_gamma 90.00
_space_group_name_H-M_alt 'C 1 2/m 1'
_space_group_IT_number 12
_space_group_name_Hall '-C 2y'
loop_
_atom_site_label
_atom_site_fract_x
_atom_site_fract_y
_atom_site_fract_z
Na1 0.1673 0.0000 0.2649
Tl1 0.0000 0.5000 0.5000
F1 0.0110 0.0000 0.7082
F2 0.0697 0.5000 0.0426
F3 0.1589 0.5000 0.5097
F4 0.2015 0.5000 0.0675
```

Entry 4:
Below is NaTl3F4 after structural relaxation, with properties calculated at the PBE level.

Summary:
- formation energy (no corrections) (eV/atom) = -1.945
- total DFT energy (no corrections) (eV per atom) = -3.93

The structure in CIF format:
```
data_NaTl3F4
_chemical_formula_sum 'Na2 Tl6 F8'
_cell_length_a 9.7655
_cell_length_b 6.4413
_cell_length_c 5.8796
_cell_angle_alpha 90.00
_cell_angle_beta 90.00
_cell_angle_gamma 90.00
_space_group_name_H-M_alt 'P m n 21'
_space_group_IT_number 31
_space_group_name_Hall 'P 2ac -2'
loop_
_atom_site_label
_atom_site_fract_x
_atom_site_fract_y
_atom_site_fract_z
Na1 0.0000 0.1823 0.0000
Tl1 0.0000 0.7414 0.5531
Tl2 0.2479 0.2732 0.5413
F1 0.0000 0.1156 0.6242
F2 0.0000 0.8596 0.1499
F3 0.2129 0.3212 0.9751
```

Entry 5:
Below is Na2TlF3 after structural relaxation, with properties calculated at the PBE level.

Summary:
- formation energy (no corrections) (eV/atom) = -2.318
- total DFT energy (no corrections) (eV per atom) = -4.09

The structure in CIF format:
```
data_Na2TlF3
_chemical_formula_sum 'Na4 Tl2 F6'
_cell_length_a 3.3327
_cell_length_b 9.6909
_cell_length_c 6.0604
_cell_angle_alpha 90.00
_cell_angle_beta 90.00
_cell_angle_gamma 90.00
_space_group_name_H-M_alt 'P m c 21'
_space_group_IT_number 26
_space_group_name_Hall 'P 2c -2'
loop_
_atom_site_label
_atom_site_fract_x
_atom_site_fract_y
_atom_site_fract_z
Na1 0.0000 0.0198 0.0000
Na2 0.5000 0.2601 0.4926
Tl1 0.5000 0.3655 0.9908
F1 0.0000 0.1881 0.2655
F2 0.0000 0.4053 0.6407
F3 0.5000 0.0938 0.7485
```

Entry 6:
Below is NaTl2F3 after structural relaxation, with properties calculated at the PBE level.

Summary:
- formation energy (no corrections) (eV/atom) = -2.038
- total DFT energy (no corrections) (eV per atom) = -3.98

The structure in CIF format:
```
data_NaTl2F3
_chemical_formula_sum 'Na2 Tl4 F6'
_cell_length_a 3.7744
_cell_length_b 3.7744
_cell_length_c 17.2096
_cell_angle_alpha 90.00
_cell_angle_beta 90.00
_cell_angle_gamma 90.00
_space_group_name_H-M_alt 'I 4/m m m'
_space_group_IT_number 139
_space_group_name_Hall '-I 4 2'
loop_
_atom_site_label
_atom_site_fract_x
_atom_site_fract_y
_atom_site_fract_z
Na1 0.0000 0.0000 0.0000
Tl1 0.0000 0.0000 0.3454
F1 0.0000 0.0000 0.1274
F2 0.0000 0.0000 0.5000
```

Entry 7:
Below is NaTl2F2 after structural relaxation, with properties calculated at the PBE level.

Summary:
- formation energy (no corrections) (eV/atom) = -1.221
- total DFT energy (no corrections) (eV per atom) = -3.18

The structure in CIF format:
```
data_NaTl2F2
_chemical_formula_sum 'Na2 Tl4 F4'
_cell_length_a 4.2852
_cell_length_b 4.2852
_cell_length_c 13.6965
_cell_angle_alpha 90.00
_cell_angle_beta 90.00
_cell_angle_gamma 90.00
_space_group_name_H-M_alt 'I 4/m m m'
_space_group_IT_number 139
_space_group_name_Hall '-I 4 2'
loop_
_atom_site_label
_atom_site_fract_x
_atom_site_fract_y
_atom_site_fract_z
Na1 0.0000 0.0000 0.0000
Tl1 0.0000 0.5000 0.2500
F1 0.0000 0.0000 0.3903
```

Entry 8:
Below is NaTlF6 after structural relaxation, with properties calculated at the PBE level.

Summary:
- formation energy (no corrections) (eV/atom) = -1.500
- total DFT energy (no corrections) (eV per atom) = -3.36

The structure in CIF format:
```
data_NaTlF6
_chemical_formula_sum 'Na1 Tl1 F6'
_cell_length_a 4.6443
_cell_length_b 4.6869
_cell_length_c 5.7178
_cell_angle_alpha 79.54
_cell_angle_beta 77.75
_cell_angle_gamma 78.76
_space_group_name_H-M_alt 'P -1'
_space_group_IT_number 2
_space_group_name_Hall '-P 1'
loop_
_atom_site_label
_atom_site_fract_x
_atom_site_fract_y
_atom_site_fract_z
Na1 0.0000 0.0000 0.0000
Tl1 0.5000 0.5000 0.5000
F1 0.1104 0.4103 0.7305
F2 0.2576 0.9405 0.3219
F3 0.4716 0.7673 0.8086
```